K2TaCu | PBE | optimized geometry

abc: 3.325 3.301 11.002
angles: 90.00 90.00 90.00
Atoms (fractional coordinates):
1 Cu 0.500 0.500 0.688
2 K 0.000 0.000 0.917
3 K 0.500 0.500 0.312
4 Ta 0.000 0.000 0.584

- relative energy among the computed polymorphs (kcal/mol of atoms) = 0.00
- DFT formation energy (eV/atom) = 0.748
- total magnetization (μB/f.u.) = 0.24
- DFT total energy (eV per atom) = -3.788
- ρ (Mg/m³) = 4.44